[1]
DFT (GGA-PBE) results for a geometry-optimized Cs2BI6O structure.

Calculated values
- crystal system = tetragonal
- size of the total moment (Bohr magnetons per cell) = 0.00
- V (Å³/cell) = 369
- total energy (eV/atom) = -2.5120
- formation energy without anion corrections (eV per atom) = -0.248

Geometry as extended XYZ:
```
10
Lattice="-1.3093 -7.2886 -2.2645 7.6189 -1.1120 -0.8260 3.5142 -6.0815 4.3017" Properties=species:S:1:pos:R:3 pbc="T T T"
Cs 7.1440 -5.6969 0.9652
Cs 2.6799 -8.7852 0.2459
I 5.1267 -2.8361 -1.2276
I 6.4473 -9.1212 -0.8509
I 1.1829 -5.5645 -1.8630
I 4.5484 -6.0557 -2.2279
I 3.3765 -5.3609 2.0620
I 1.7612 -2.3449 -0.8627
O 0.0000 0.0000 0.0000
B 3.1548 -4.2003 -1.5453
```

[2]
DFT (GGA-PBE) results for a geometry-optimized Al2ReAs structure.

Calculated values
- ΔH_f (0 K) (eV per atom) = 0.258
- crystal system = orthorhombic
- size of the total moment (Bohr magnetons per cell) = 0.00
- V (Å³/cell) = 69
- total energy (eV/atom) = -5.8881

Geometry as extended XYZ:
```
4
Lattice="2.8642 -0.0090 0.0000 -1.2813 2.5617 0.0000 0.0000 0.0000 9.3615" Properties=species:S:1:pos:R:3 pbc="T T T"
Al 0.7915 1.2763 2.1891
Al 0.0000 0.0000 9.1658
As 0.0000 0.0000 5.0082
Re 0.7915 1.2763 7.0405
```

[3]
DFT (GGA-PBE) results for a geometry-optimized RbBaBi structure.

Calculated values
- ΔH_f (0 K) (eV per atom) = -0.692
- crystal system = orthorhombic
- size of the total moment (Bohr magnetons per cell) = 0.00
- V (Å³/cell) = 592
- total energy (eV/atom) = -2.9487

Geometry as extended XYZ:
```
12
Lattice="9.5969 0.0000 0.0000 0.0000 5.8822 0.0000 0.0000 0.0000 10.4927" Properties=species:S:1:pos:R:3 pbc="T T T"
Ba 1.4851 1.4706 0.8748
Ba 8.1118 4.4117 9.6180
Ba 6.2836 1.4706 4.3716
Ba 3.3133 4.4117 6.1211
Bi 7.5087 1.4706 1.0492
Bi 2.7103 1.4706 4.1972
Bi 2.0881 4.4117 9.4436
Bi 6.8866 4.4117 6.2955
Rb 4.9457 1.4706 8.6403
Rb 0.1473 1.4706 7.0988
Rb 4.6511 4.4117 1.8524
Rb 9.4496 4.4117 3.3940
```

[4]
DFT (GGA-PBE) results for a geometry-optimized Hf2NbCuAu structure.

Calculated values
- ΔH_f (0 K) (eV per atom) = 1.211
- crystal system = tetragonal
- size of the total moment (Bohr magnetons per cell) = 0.00
- V (Å³/cell) = 127
- total energy (eV/atom) = -6.2593

Geometry as extended XYZ:
```
5
Lattice="-1.8763 2.2978 4.0151 0.3599 -4.3509 2.6582 4.6127 1.2586 1.4353" Properties=species:S:1:pos:R:3 pbc="T T T"
Nb 0.0000 0.0000 0.0000
Au 0.1800 -2.1755 1.3291
Hf 2.3064 0.6293 0.7177
Hf -0.9382 1.1489 2.0075
Cu 1.5482 -0.3973 4.0543
```

[5]
DFT (GGA-PBE) results for a geometry-optimized Na3Zr3ScTe8 structure.

Calculated values
- crystal system = trigonal
- size of the total moment (Bohr magnetons per cell) = 0.00
- V (Å³/cell) = 456
- total energy (eV/atom) = -5.0517
- formation energy without anion corrections (eV per atom) = -0.981

Geometry as extended XYZ:
```
15
Lattice="8.1912 0.0000 0.0000 -4.0956 7.0884 -0.0289 0.0000 -4.6956 7.8684" Properties=species:S:1:pos:R:3 pbc="T T T"
Zr -2.0478 1.1964 3.9197
Zr 4.0956 -2.3478 3.9342
Zr 2.0478 1.1964 3.9197
Te 4.0956 0.0246 5.6917
Te 2.0364 3.5618 5.6597
Te -2.0364 3.5618 5.6597
Te 0.0000 0.0397 5.6732
Te 4.0956 2.3531 2.1662
Te 6.1320 -1.1691 2.1797
Te 0.0000 2.3682 2.1477
Te 2.0592 -1.1691 2.1797
Na 2.0478 3.5442 -0.0145
Na 0.0000 0.0000 0.0000
Na -2.0478 3.5442 -0.0145
Sc 0.0000 -2.3478 3.9342
```

[6]
DFT (GGA-PBE) results for a geometry-optimized InRu4Pt structure.

Calculated values
- ΔH_f (0 K) (eV per atom) = 0.462
- crystal system = cubic
- size of the total moment (Bohr magnetons per cell) = 0.02
- V (Å³/cell) = 96
- total energy (eV/atom) = -7.1856

Geometry as extended XYZ:
```
6
Lattice="0.0000 3.6337 3.6337 3.6337 0.0000 3.6337 3.6337 3.6337 0.0000" Properties=species:S:1:pos:R:3 pbc="T T T"
Pt 0.0000 0.0000 0.0000
Ru 2.7197 4.5477 2.7197
Ru 4.5477 2.7197 2.7197
Ru 4.5477 4.5477 4.5477
Ru 2.7197 2.7197 4.5477
In 1.8168 1.8168 1.8168
```